# Mn2Pd12Au5

Mn2Pd12Au5 after structural relaxation (PBE, Alexandria).

Calculated values
Offset from the most stable computed form: 15 meV/atom
Total magnetization: 0.506 μB per atom
Formation enthalpy at 0 K: -28.2 meV per atom
Mass density: 12581 kg/m³

Lattice parameters (Å, degrees): 12.552 7.583 6.579 90.00 91.12 90.00
Space group C2/m (No. 12)
Asymmetric unit:
Mn 0.000 0.196 0.000
Pd 0.053 0.000 0.319
Pd 0.090 0.500 0.894
Pd 0.122 0.199 0.662
Pd 0.152 0.315 0.245
Au 0.000 0.500 0.500
Au 0.194 0.000 0.995
Au 0.237 0.500 0.582

---

# LiGa2H6

LiGa2H6 after structural relaxation (PBE, Alexandria).

Calculated values
Offset from the most stable computed form: 499 meV/atom
Total magnetization: 0.000 μB per atom
Mass density: 3903 kg/m³

Lattice parameters (Å, degrees): 6.378 6.378 6.378 90.00 90.00 90.00
Space group Fm-3m (No. 225)
Asymmetric unit:
Li 0.000 0.000 0.000
Ga 0.250 0.250 0.250
H 0.000 0.000 0.273

---

# TiCrTc2

TiCrTc2 after structural relaxation (PBE, Alexandria).

Calculated values
Total magnetization: 0.000 μB per atom
Formation enthalpy at 0 K: 378.4 meV per atom
Mass density: 7961 kg/m³

Lattice parameters (Å, degrees): 2.732 4.432 10.193 90.00 90.00 90.00
Space group Immm (No. 71)
Asymmetric unit:
Ti 0.000 0.000 0.000
Cr 0.000 0.000 0.500
Tc 0.000 0.000 0.285

---

# Cs5PtO

Cs5PtO after structural relaxation (PBE, Alexandria).

Calculated values
Total magnetization: 0.000 μB per atom
Uncorrected formation energy: -262 kJ/mol of formula units
Mass density: 3974 kg/m³

Lattice parameters (Å, degrees): 14.157 9.754 11.669 90.00 114.74 90.00
Space group C2/c (No. 15)
Asymmetric unit:
Cs 0.000 0.081 0.250
Cs 0.013 0.297 0.971
Cs 0.230 0.020 0.619
Pt 0.000 0.431 0.250
O 0.000 0.000 0.000

---

# TlH2IO

TlH2IO after structural relaxation (PBE, Alexandria).

Calculated values
Total magnetization: 0.000 μB per atom
Mass density: 5472 kg/m³
Uncorrected energy: -74.0 eV per cell

Lattice parameters (Å, degrees): 4.537 12.779 7.314 90.00 90.00 90.00
Space group Cmcm (No. 63)
Asymmetric unit:
Tl 0.000 0.111 0.250
H 0.000 0.438 0.074
I 0.000 0.177 0.750
O 0.000 0.500 0.000

---

# NaSr3Nd2S6

NaSr3Nd2S6 after structural relaxation (PBE, Alexandria).

Calculated values
Total magnetization: 0.000 μB per atom
Uncorrected formation energy: -2301 kJ/mol of formula units
Mass density: 4110 kg/m³

Lattice parameters (Å, degrees): 7.237 12.526 7.246 90.00 109.40 90.00
Space group C2/m (No. 12)
Asymmetric unit:
Na 0.000 0.000 0.000
Sr 0.000 0.164 0.500
Sr 0.000 0.500 0.500
Nd 0.000 0.333 0.000
S 0.238 0.500 0.238
S 0.249 0.329 0.760

---

# Y2HoTh3Se6

Y2HoTh3Se6 after structural relaxation (PBE, Alexandria).

Calculated values
Total magnetization: 0.000 μB per atom
Uncorrected formation energy: -1896 kJ/mol of formula units
Mass density: 8344 kg/m³

Lattice parameters (Å, degrees): 6.962 11.987 7.571 90.00 107.66 90.00
Space group C2/m (No. 12)
Asymmetric unit:
Y 0.000 0.166 0.000
Ho 0.000 0.500 0.000
Th 0.000 0.000 0.500
Th 0.000 0.332 0.500
Se 0.243 0.334 0.233
Se 0.247 0.000 0.234

---

# TlTcP2

TlTcP2 after structural relaxation (PBE, Alexandria).

Calculated values
Offset from the most stable computed form: 793 meV/atom
Total magnetization: 0.001 μB per atom
Formation enthalpy at 0 K: 713.9 meV per atom
Mass density: 8887 kg/m³

Lattice parameters (Å, degrees): 5.547 7.429 3.320 90.00 95.55 90.00
Space group C2/m (No. 12)
Asymmetric unit:
Tl 0.000 0.000 0.000
Tc 0.000 0.500 0.000
P 0.250 0.250 0.500

---

Number 1: density of states at the Fermi level 18.6 states/eV/f.u.. Number 2: density of states at the Fermi level 1.3 states/eV/f.u.. Number 3: density of states at the Fermi level 5.0 states/eV/f.u.. Number 4: density of states at the Fermi level 2.8 states/eV/f.u.. Number 5: density of states at the Fermi level 0.0 states/eV/f.u.. Number 6: density of states at the Fermi level 3.6 states/eV/f.u.. Number 7: density of states at the Fermi level 8.0 states/eV/f.u.. Number 8: density of states at the Fermi level 3.8 states/eV/f.u..